[1]
# BaDyMnS4

A geometry-optimized BaDyMnS4 structure (PBE-GGA, Alexandria via LeMat-Bulk).

Cell: 6.594 6.288 8.596 Å, 90.00 107.83 90.00°
Site moments in Bohr magnetons follow the coordinates.
Element x y z (fractional)
Mn 0.768 0.250 0.674  3.35
S 0.427 0.750 0.147  0.05
S 0.438 0.750 0.587  0.04
S 0.012 0.992 0.716  -0.03
Ba 0.259 0.250 0.061  0.02
Dy 0.239 0.250 0.556  0.08
S 0.562 0.250 0.413  0.04
Dy 0.761 0.750 0.444  0.08
Mn 0.232 0.750 0.326  3.35
Ba 0.741 0.750 0.939  0.02
S 0.573 0.250 0.853  0.05
S 0.012 0.508 0.716  -0.03
S 0.988 0.008 0.284  -0.03
S 0.988 0.492 0.284  -0.03

Total magnetization = 4.00 μB per formula unit

***

[2]
# Ba2DyMnS5

A geometry-optimized Ba2DyMnS5 structure (PBE-GGA, Alexandria via LeMat-Bulk).

Cell: 4.147 9.261 12.945 Å, 90.00 90.00 102.94°
Site moments in Bohr magnetons follow the coordinates.
Element x y z (fractional)
S 0.315 0.630 0.382  0.03
S 0.655 0.310 0.515  0.00
S 0.345 0.690 0.015  0.00
Ba 0.125 0.249 0.692  0.01
S 0.959 0.919 0.502  -0.04
Ba 0.875 0.751 0.192  0.01
S 0.304 0.608 0.667  0.01
Dy 0.800 0.600 0.530  0.02
S 0.501 0.003 0.775  0.02
S 0.696 0.392 0.167  0.01
S 0.685 0.370 0.882  0.03
S 0.499 0.997 0.275  0.02
Dy 0.200 0.400 0.030  0.02
Mn 0.559 0.119 0.927  3.50
S 0.041 0.081 0.002  -0.04
Ba 0.126 0.252 0.336  0.01
Mn 0.441 0.881 0.427  3.50
Ba 0.874 0.748 0.836  0.01

Total magnetization = 4.00 μB per formula unit

***

[3]
# BaDyMnSe4

A geometry-optimized BaDyMnSe4 structure (PBE-GGA, Alexandria via LeMat-Bulk).

Cell: 6.890 6.530 8.954 Å, 90.00 107.83 90.00°
Site moments in Bohr magnetons follow the coordinates.
Element x y z (fractional)
Se 0.575 0.250 0.861  0.04
Se 0.437 0.750 0.593  0.02
Mn 0.764 0.250 0.674  3.51
Mn 0.236 0.750 0.326  3.51
Ba 0.749 0.750 0.941  0.02
Se 0.563 0.250 0.407  0.02
Dy 0.245 0.250 0.557  0.08
Ba 0.251 0.250 0.059  0.02
Se 0.425 0.750 0.139  0.04
Se 0.018 0.989 0.717  -0.05
Se 0.982 0.489 0.283  -0.05
Se 0.982 0.011 0.283  -0.05
Dy 0.755 0.750 0.443  0.08
Se 0.018 0.511 0.717  -0.05

Total magnetization = 4.00 μB per formula unit

***

[4]
# Ba2DyMnTe5

A geometry-optimized Ba2DyMnTe5 structure (PBE-GGA, Alexandria via LeMat-Bulk).

Cell: 4.567 10.294 14.200 Å, 90.00 90.00 102.82°
Site moments in Bohr magnetons follow the coordinates.
Element x y z (fractional)
Te 0.693 0.387 0.173  -0.01
Te 0.037 0.074 0.017  -0.08
Te 0.308 0.616 0.375  -0.01
Mn 0.563 0.127 0.924  3.78
Te 0.346 0.691 0.014  -0.02
Te 0.654 0.309 0.514  -0.02
Ba 0.128 0.256 0.694  0.01
Te 0.503 0.007 0.762  -0.05
Ba 0.881 0.762 0.836  0.01
Ba 0.119 0.238 0.336  0.01
Dy 0.196 0.393 0.029  0.02
Te 0.307 0.613 0.673  -0.01
Te 0.692 0.384 0.875  -0.01
Dy 0.804 0.607 0.529  0.02
Te 0.497 0.993 0.262  -0.05
Ba 0.872 0.744 0.194  0.01
Mn 0.437 0.873 0.424  3.78
Te 0.963 0.926 0.517  -0.08

Total magnetization = 4.00 μB per formula unit

***

In eV/atom, the calculated total energy values for the records above are, in order, -6.108, -5.917, -5.606, -4.917.